Computed, not measured: crystalline NpAs2Pd at its relaxed geometry at the GGA-PBE level of DFT.

Results
Size of the total moment = 0.981 μB/atom
Raw total energy = -7.312 eV/atom
Symmetry = R-3m, No. 166
Energy of formation from the pure elements = -1.82 eV/f.u.

a b c (Å): 5.859 5.859 5.859
angles (deg): 41.54 41.54 41.54
Atoms (fractional coordinates):
Np (0.000, 0.000, 0.000)
As (0.239, 0.239, 0.239)
As (0.761, 0.761, 0.761)
Pd (0.500, 0.500, 0.500)

Computed, not measured: crystalline Ce3IrI3 at its relaxed geometry at the GGA-PBE level of DFT.

Results
ΔE_f (raw) = -1.07 eV/atom
Size of the total moment = 0.485 μB/atom
Raw total energy = -5.541 eV/atom
Energy above the lowest structure with this stoichiometry = 0.000 eV/atom
Symmetry = I4_132, No. 214

a b c (Å): 10.737 10.737 10.737
angles (deg): 109.47 109.47 109.47
Atoms (fractional coordinates):
Ce (0.021, 0.043, 0.271)
Ce (0.021, 0.479, 0.750)
Ce (0.043, 0.271, 0.021)
Ce (0.229, 0.271, 0.750)
Ce (0.229, 0.457, 0.479)
Ce (0.271, 0.021, 0.043)
Ce (0.271, 0.750, 0.229)
Ce (0.457, 0.479, 0.229)
Ce (0.479, 0.229, 0.457)
Ce (0.479, 0.750, 0.021)
Ce (0.750, 0.021, 0.479)
Ce (0.750, 0.229, 0.271)
Ir (0.000, 0.250, 0.500)
Ir (0.250, 0.250, 0.250)
Ir (0.250, 0.500, 0.000)
Ir (0.500, 0.000, 0.250)
I (0.250, 0.760, 0.740)
I (0.250, 0.990, 0.510)
I (0.510, 0.250, 0.990)
I (0.510, 0.760, 0.520)
I (0.520, 0.510, 0.760)
I (0.740, 0.250, 0.760)
I (0.740, 0.990, 0.980)
I (0.760, 0.520, 0.510)
I (0.760, 0.740, 0.250)
I (0.980, 0.740, 0.990)
I (0.990, 0.510, 0.250)
I (0.990, 0.980, 0.740)

Computed, not measured: crystalline Ca2NiN at its relaxed geometry at the GGA-PBE level of DFT.

Results
ΔE_f (raw) = 0.05 eV/atom
Size of the total moment = 0.000 μB/atom
Raw total energy = -4.480 eV/atom
Symmetry = I-42d, No. 122

a b c (Å): 5.902 5.902 5.902
angles (deg): 107.50 107.50 113.49
Atoms (fractional coordinates):
Ca (0.057, 0.625, 0.932)
Ca (0.375, 0.307, 0.432)
Ca (0.693, 0.125, 0.068)
Ca (0.875, 0.943, 0.568)
Ni (0.250, 0.750, 0.500)
Ni (0.500, 0.500, 0.000)
N (0.000, 0.000, 0.000)
N (0.750, 0.250, 0.500)